Record 1
First-principles (GGA-PBE) data for FeSb2CI after structural relaxation, as listed in Alexandria via LeMat-Bulk.

Values from the calculation:
Its crystal system is tetragonal. The energy relative to the lowest polymorph listed for this composition is 258 meV per atom. The density of states at the Fermi level is 3.661 states/eV/cell.

Cell: 4.7960 4.7960 5.5537 Å, 90.00 90.00 90.00°
With the nearest neighbours (Å) after each atom.
Fractional positions:
Fe 0.0000 0.0000 0.0000  4 Sb 2.40
Sb 0.0000 0.5000 0.0000  2 Fe 2.40
Sb 0.5000 0.0000 0.0000  2 Fe 2.40
C 0.5000 0.5000 0.5000  4 I 3.39, 8 Sb 3.67
I 0.0000 0.0000 0.5000  2 Fe 2.78



Record 2
First-principles (GGA-PBE) data for SrTl3Rh3 after structural relaxation, as listed in Alexandria via LeMat-Bulk.

Values from the calculation:
Its crystal system is cubic. The density of states at the Fermi level is 7.925 states/eV/cell. The formation energy from the elements comes out at 0.300 eV per atom.

Cell: 7.4042 7.4042 7.4042 Å, 90.00 90.00 90.00°
With the nearest neighbours (Å) after each atom.
Fractional positions:
Sr 0.0000 0.0000 0.0000  12 Tl 4.14, 12 Rh 4.14
Sr 0.5000 0.5000 0.5000  12 Tl 4.14, 12 Rh 4.14
Tl 0.0000 0.2500 0.5000  4 Rh 2.62
Tl 0.0000 0.7500 0.5000  4 Rh 2.62
Tl 0.2500 0.5000 0.0000  4 Rh 2.62
Tl 0.5000 0.0000 0.2500  4 Rh 2.62
Tl 0.5000 0.0000 0.7500  4 Rh 2.62
Tl 0.7500 0.5000 0.0000  4 Rh 2.62
Rh 0.0000 0.5000 0.2500  4 Tl 2.62
Rh 0.0000 0.5000 0.7500  4 Tl 2.62
Rh 0.2500 0.0000 0.5000  4 Tl 2.62
Rh 0.5000 0.2500 0.0000  4 Tl 2.62
Rh 0.5000 0.7500 0.0000  4 Tl 2.62
Rh 0.7500 0.0000 0.5000  4 Tl 2.62



Record 3
First-principles (GGA-PBE) data for Sm3Dy6Er2Mg after structural relaxation, as listed in Alexandria via LeMat-Bulk.

Values from the calculation:
Its crystal system is monoclinic. The density of states at the Fermi level is 16.975 states/eV/cell. The formation energy from the elements comes out at 0.032 eV per atom.

Cell: 6.1436 6.1436 11.6737 Å, 95.07 95.07 120.03°
With the nearest neighbours (Å) after each atom.
Fractional positions:
Sm 0.0000 0.0000 0.0000  6 Sm 3.54-3.56, 6 Dy 3.56-3.57
Sm 0.3341 0.6659 0.0000  6 Sm 3.53-3.56, 6 Dy 3.56-3.58
Sm 0.6659 0.3341 0.0000  6 Sm 3.53-3.56, 6 Dy 3.56-3.58
Dy 0.0867 0.4194 0.2549  1 Mg 3.48, 2 Er 3.48-3.49, 6 Dy 3.54-3.55, 3 Sm 3.57-3.58
Dy 0.2477 0.2477 0.7460  2 Er 3.49, 1 Mg 3.50, 6 Dy 3.54-3.55, 3 Sm 3.56
Dy 0.4194 0.0867 0.2549  1 Mg 3.48, 2 Er 3.48-3.49, 6 Dy 3.54-3.55, 3 Sm 3.57-3.58
Dy 0.5806 0.9133 0.7451  1 Mg 3.48, 2 Er 3.48-3.49, 6 Dy 3.54-3.55, 3 Sm 3.57-3.58
Dy 0.7523 0.7523 0.2540  2 Er 3.49, 1 Mg 3.50, 6 Dy 3.54-3.55, 3 Sm 3.56
Dy 0.9133 0.5806 0.7451  1 Mg 3.48, 2 Er 3.48-3.49, 6 Dy 3.54-3.55, 3 Sm 3.57-3.58
Er 0.1663 0.8337 0.5000  6 Dy 3.48-3.49, 3 Er 3.54-3.55, 3 Mg 3.54-3.55
Er 0.8337 0.1663 0.5000  6 Dy 3.48-3.49, 3 Er 3.54-3.55, 3 Mg 3.54-3.55
Mg 0.5000 0.5000 0.5000  6 Dy 3.48-3.50, 6 Er 3.54-3.55



Record 4
First-principles (GGA-PBE) data for GeHN after structural relaxation, as listed in Alexandria via LeMat-Bulk.

Values from the calculation:
Its crystal system is monoclinic. The energy relative to the lowest polymorph listed for this composition is 118 meV per atom. The density of states at the Fermi level is 0.000 states/eV/cell.

Cell: 4.5001 4.5001 3.0127 Å, 98.75 98.75 110.92°
With the nearest neighbours (Å) after each atom.
Fractional positions:
Ge 0.0000 0.0000 0.0000  2 N 1.87
H 0.5647 0.5647 0.3010  1 N 1.03
N 0.7742 0.7742 0.3976  1 H 1.03